1.
# Cs3CdCl6

A relaxed structure of Cs3CdCl6 (PBE, the Alexandria database).

Cell: 8.2206 8.2206 8.2206 Å, 60.00 60.00 90.00°
With the nearest neighbours (Å) after each atom.
Fractional coordinates of all 10 atoms:
Cl (0.7235, 0.7235, 0.5530)  1 Cd 2.60
Cl (0.2765, 0.2765, 0.0000)  1 Cd 2.60
Cs (0.7500, 0.2500, 0.5000)  12 Cl 4.12
Cl (0.7235, 0.2765, 0.0000)  1 Cd 2.60
Cl (0.2765, 0.2765, 0.4470)  1 Cd 2.60
Cl (0.2765, 0.7235, 0.0000)  1 Cd 2.60
Cs (0.0000, 0.0000, 0.0000)  6 Cl 3.21
Cs (0.2500, 0.7500, 0.5000)  12 Cl 4.12
Cl (0.7235, 0.7235, 0.0000)  1 Cd 2.60
Cd (0.5000, 0.5000, 0.0000)  6 Cl 2.60

Summary:
Crystal system   cubic
Final energy   -28.717 eV per cell
ρ   3.1 g cm⁻³
Total magnetic moment   1.0 μB per cell
N(E_F)   8.33 states/eV/cell
Formation energy from raw total energies   -1.416 eV per atom

=====

2.
# CsCd3Cl7

A relaxed structure of CsCd3Cl7 (PBE, the Alexandria database).

Cell: 7.1039 6.8807 7.1039 Å, 99.38 82.25 99.38°
With the nearest neighbours (Å) after each atom.
Fractional coordinates of all 11 atoms:
Cl (0.1433, 0.2248, 0.1433)  3 Cd 2.68-2.74
Cl (0.3311, 0.7380, 0.9359)  2 Cd 2.53-2.67
Cd (0.2081, 0.0000, 0.7919)  5 Cl 2.53-2.74
Cl (0.9359, 0.7380, 0.3311)  2 Cd 2.53-2.67
Cl (0.8567, 0.7752, 0.8567)  3 Cd 2.68-2.74
Cd (0.0000, 0.5000, 0.0000)  6 Cl 2.67-2.68
Cl (0.0641, 0.2620, 0.6689)  2 Cd 2.53-2.67
Cl (0.6689, 0.2620, 0.0641)  2 Cd 2.53-2.67
Cs (0.5000, 0.5000, 0.5000)  6 Cl 3.42-3.44
Cl (0.5000, 0.0000, 0.5000)  2 Cd 2.73
Cd (0.7919, 0.0000, 0.2081)  5 Cl 2.53-2.74

Summary:
Crystal system   monoclinic
Final energy   -29.893 eV per cell
ρ   3.6 g cm⁻³
Total magnetic moment   0.0 μB per cell
N(E_F)   0.00 states/eV/cell
Formation energy from raw total energies   -1.215 eV per atom

=====

3.
# CsCdCl3

A relaxed structure of CsCdCl3 (PBE, the Alexandria database).

Cell: 7.5375 7.5375 18.8601 Å, 90.00 90.00 120.00°
With the nearest neighbours (Å) after each atom.
Fractional coordinates of all 30 atoms:
Cl (0.5077, 0.0153, 0.2500)  2 Cd 2.68
Cl (0.8343, 0.6687, 0.4183)  2 Cd 2.64-2.66
Cd (0.0000, 0.0000, 0.5000)  6 Cl 2.66
Cl (0.1657, 0.3313, 0.5817)  2 Cd 2.64-2.66
Cl (0.5077, 0.4923, 0.2500)  2 Cd 2.68
Cl (0.1657, 0.3313, 0.9183)  2 Cd 2.64-2.66
Cd (0.6667, 0.3333, 0.1604)  6 Cl 2.64-2.68
Cd (0.3333, 0.6667, 0.6604)  6 Cl 2.64-2.68
Cl (0.0153, 0.5077, 0.7500)  2 Cd 2.68
Cl (0.6687, 0.8343, 0.5817)  2 Cd 2.64-2.66
Cs (0.3333, 0.6667, 0.0850)  12 Cl 3.77-3.86
Cl (0.4923, 0.9847, 0.7500)  2 Cd 2.68
Cl (0.1657, 0.8343, 0.5817)  2 Cd 2.64-2.66
Cs (0.6667, 0.3333, 0.9150)  12 Cl 3.77-3.86
Cl (0.9847, 0.4923, 0.2500)  2 Cd 2.68
Cs (0.6667, 0.3333, 0.5850)  12 Cl 3.77-3.86
Cl (0.6687, 0.8343, 0.9183)  2 Cd 2.64-2.66
Cl (0.4923, 0.5077, 0.7500)  2 Cd 2.68
Cl (0.8343, 0.1657, 0.4183)  2 Cd 2.64-2.66
Cd (0.3333, 0.6667, 0.8396)  6 Cl 2.64-2.68
Cl (0.8343, 0.6687, 0.0817)  2 Cd 2.64-2.66
Cd (0.6667, 0.3333, 0.3396)  6 Cl 2.64-2.68
Cs (0.0000, 0.0000, 0.7500)  12 Cl 3.77-3.84
Cs (0.3333, 0.6667, 0.4150)  12 Cl 3.77-3.86
Cl (0.8343, 0.1657, 0.0817)  2 Cd 2.64-2.66
Cl (0.1657, 0.8343, 0.9183)  2 Cd 2.64-2.66
Cd (0.0000, 0.0000, 0.0000)  6 Cl 2.66
Cl (0.3313, 0.1657, 0.0817)  2 Cd 2.64-2.66
Cl (0.3313, 0.1657, 0.4183)  2 Cd 2.64-2.66
Cs (0.0000, 0.0000, 0.2500)  12 Cl 3.77-3.84

Summary:
Crystal system   hexagonal
Final energy   -88.364 eV per cell
ρ   3.8 g cm⁻³
Total magnetic moment   0.0 μB per cell
N(E_F)   0.00 states/eV/cell
Formation energy from raw total energies   -1.484 eV per atom

=====

4.
# CsCd2Cl5

A relaxed structure of CsCd2Cl5 (PBE, the Alexandria database).

Cell: 3.8500 9.8045 9.8045 Å, 42.52 78.68 78.68°
With the nearest neighbours (Å) after each atom.
Fractional coordinates of all 8 atoms:
Cl (0.6571, 0.5909, 0.0950)  2 Cd 2.62
Cd (0.1461, 0.3539, 0.3539)  5 Cl 2.61-2.62
Cl (0.3429, 0.4091, 0.9050)  2 Cd 2.62
Cl (0.0000, 0.5000, 0.5000)  2 Cd 2.61
Cl (0.3429, 0.9050, 0.4091)  2 Cd 2.62
Cd (0.8539, 0.6461, 0.6461)  5 Cl 2.61-2.62
Cl (0.6571, 0.0950, 0.5909)  2 Cd 2.62
Cs (0.0000, 0.0000, 0.0000)  10 Cl 3.56-3.85, 2 Cs 3.85

Summary:
Crystal system   orthorhombic
Final energy   -21.968 eV per cell
ρ   3.6 g cm⁻³
Total magnetic moment   0.0 μB per cell
N(E_F)   0.00 states/eV/cell
Formation energy from raw total energies   -1.256 eV per atom

=====

5.
# CsCdCu2Cl8

A relaxed structure of CsCdCu2Cl8 (PBE, the Alexandria database).

Cell: 6.4949 6.4949 9.5439 Å, 90.00 90.00 120.00°
With the nearest neighbours (Å) after each atom.
Fractional coordinates of all 12 atoms:
Cu (0.6667, 0.3333, 0.2770)  4 Cl 2.21-2.24
Cl (0.0010, 0.3274, 0.6674)  1 Cu 2.24
Cl (0.6735, 0.0010, 0.3326)  1 Cu 2.24
Cl (0.3265, 0.9990, 0.6674)  1 Cu 2.24
Cl (0.9990, 0.6726, 0.3326)  1 Cu 2.24
Cl (0.6726, 0.6735, 0.6674)  1 Cu 2.24
Cl (0.3333, 0.6667, 0.9542)  1 Cu 2.21
Cl (0.6667, 0.3333, 0.0458)  1 Cu 2.21
Cu (0.3333, 0.6667, 0.7230)  4 Cl 2.21-2.24
Cs (0.0000, 0.0000, 0.0000)  12 Cl 3.78-3.82
Cl (0.3274, 0.3265, 0.3326)  1 Cu 2.24
Cd (0.0000, 0.0000, 0.5000)  6 Cl 2.66

Summary:
Crystal system   trigonal
Final energy   -34.133 eV per cell
ρ   3.1 g cm⁻³
Total magnetic moment   3.1 μB per cell
N(E_F)   11.39 states/eV/cell
Formation energy from raw total energies   -0.783 eV per atom

=====

6.
# Cs2CdCuCl5

A relaxed structure of Cs2CdCuCl5 (PBE, the Alexandria database).

Cell: 4.1526 10.3892 13.8708 Å, 90.00 90.00 101.53°
With the nearest neighbours (Å) after each atom.
Fractional coordinates of all 18 atoms:
Cs (0.1261, 0.2521, 0.3121)  7 Cl 3.42-3.74
Cl (0.0784, 0.1569, 0.0174)  2 Cu 2.35
Cs (0.8781, 0.7561, 0.2005)  7 Cl 3.43-3.64
Cu (0.5638, 0.1276, 0.9408)  3 Cl 2.24-2.35
Cl (0.6972, 0.3943, 0.8852)  2 Cd 2.77, 1 Cu 2.82
Cd (0.7898, 0.5796, 0.5155)  6 Cl 2.56-2.77
Cs (0.1219, 0.2439, 0.7005)  7 Cl 3.43-3.64
Cl (0.9216, 0.8431, 0.5174)  2 Cu 2.35
Cl (0.6643, 0.3286, 0.5068)  1 Cd 2.56
Cl (0.4927, 0.9853, 0.3022)  1 Cu 2.24
Cs (0.8739, 0.7479, 0.8121)  7 Cl 3.42-3.74
Cl (0.3357, 0.6714, 0.0068)  1 Cd 2.56
Cl (0.2920, 0.5841, 0.6435)  2 Cd 2.73
Cl (0.5073, 0.0147, 0.8022)  1 Cu 2.24
Cl (0.7080, 0.4159, 0.1435)  2 Cd 2.73
Cl (0.3028, 0.6057, 0.3852)  2 Cd 2.77, 1 Cu 2.82
Cu (0.4362, 0.8724, 0.4408)  3 Cl 2.24-2.35
Cd (0.2102, 0.4204, 0.0155)  6 Cl 2.56-2.77

Summary:
Crystal system   orthorhombic
Final energy   -56.086 eV per cell
ρ   3.5 g cm⁻³
Total magnetic moment   0.0 μB per cell
Formation energy from raw total energies   -1.343 eV per atom

=====

7.
# Cs3CdCu2Cl8

A relaxed structure of Cs3CdCu2Cl8 (PBE, the Alexandria database).

Cell: 7.3539 7.3539 9.6273 Å, 90.00 90.00 120.00°
With the nearest neighbours (Å) after each atom.
Fractional coordinates of all 14 atoms:
Cl (0.6675, 0.8337, 0.3309)  1 Cu 2.35
Cl (0.8337, 0.1663, 0.6691)  1 Cu 2.35
Cu (0.3333, 0.6667, 0.2275)  4 Cl 2.19-2.35
Cl (0.3333, 0.6667, 0.0004)  1 Cu 2.19
Cl (0.6667, 0.3333, 0.9996)  1 Cu 2.19
Cl (0.8337, 0.6675, 0.6691)  1 Cu 2.35
Cs (0.6667, 0.3333, 0.3507)  10 Cl 3.38-3.73
Cd (0.0000, 0.0000, 0.5000)  6 Cl 2.67
Cs (0.0000, 0.0000, 0.0000)  12 Cl 3.83-4.25
Cl (0.1663, 0.3325, 0.3309)  1 Cu 2.35
Cu (0.6667, 0.3333, 0.7725)  4 Cl 2.19-2.35
Cl (0.3325, 0.1663, 0.6691)  1 Cu 2.35
Cl (0.1663, 0.8337, 0.3309)  1 Cu 2.35
Cs (0.3333, 0.6667, 0.6493)  10 Cl 3.38-3.73

Summary:
Crystal system   trigonal
Final energy   -44.259 eV per cell
ρ   3.4 g cm⁻³
Total magnetic moment   1.1 μB per cell
N(E_F)   13.77 states/eV/cell
Formation energy from raw total energies   -1.273 eV per atom

=====

8.
# CsCd2CuCl6

A relaxed structure of CsCd2CuCl6 (PBE, the Alexandria database).

Cell: 7.7572 9.9888 9.9888 Å, 94.76 75.86 75.86°
With the nearest neighbours (Å) after each atom.
Fractional coordinates of all 20 atoms:
Cl (0.9764, 0.3695, 0.8227)  1 Cu 2.28, 1 Cd 2.49
Cs (0.7500, 0.1179, 0.8821)  6 Cl 3.41-3.55
Cd (0.3464, 0.7576, 0.6000)  4 Cl 2.49-2.58
Cl (0.7795, 0.0296, 0.2144)  1 Cu 2.41, 1 Cd 2.52
Cl (0.5508, 0.5755, 0.6949)  2 Cd 2.52-2.58
Cl (0.4492, 0.4245, 0.3051)  2 Cd 2.52-2.58
Cl (0.4764, 0.8227, 0.3695)  1 Cu 2.28, 1 Cd 2.49
Cl (0.2205, 0.9704, 0.7856)  1 Cu 2.41, 1 Cd 2.52
Cl (0.0236, 0.6305, 0.1773)  1 Cu 2.28, 1 Cd 2.49
Cs (0.2500, 0.8821, 0.1179)  6 Cl 3.41-3.55
Cd (0.6536, 0.2424, 0.4000)  4 Cl 2.49-2.58
Cl (0.0508, 0.6949, 0.5755)  2 Cd 2.52-2.58
Cu (0.7500, 0.7944, 0.2056)  4 Cl 2.28-2.41
Cl (0.5236, 0.1773, 0.6305)  1 Cu 2.28, 1 Cd 2.49
Cl (0.2795, 0.2144, 0.0296)  1 Cu 2.41, 1 Cd 2.52
Cl (0.9492, 0.3051, 0.4245)  2 Cd 2.52-2.58
Cd (0.8464, 0.6000, 0.7576)  4 Cl 2.49-2.58
Cl (0.7205, 0.7856, 0.9704)  1 Cu 2.41, 1 Cd 2.52
Cd (0.1536, 0.4000, 0.2424)  4 Cl 2.49-2.58
Cu (0.2500, 0.2056, 0.7944)  4 Cl 2.28-2.41

Summary:
Crystal system   monoclinic
Final energy   -57.912 eV per cell
ρ   2.9 g cm⁻³
Total magnetic moment   0.3 μB per cell
Formation energy from raw total energies   -1.110 eV per atom